A plane-wave DFT calculation with PBE-GGA was carried out for TlCoSe2 after structural relaxation.

```
data_TlCoSe2
_chemical_formula_sum 'Tl1 Co1 Se2'
_cell_length_a 6.2399
_cell_length_b 6.2399
_cell_length_c 4.9349
_cell_angle_alpha 64.10
_cell_angle_beta 64.10
_cell_angle_gamma 32.61
_space_group_name_H-M_alt 'P 1'
_space_group_IT_number 1
loop_
_space_group_symop_operation_xyz
'x,y,z'
loop_
_atom_site_label
_atom_site_fract_x
_atom_site_fract_y
_atom_site_fract_z
Co1 0.3177 0.3177 0.9962
Se1 0.8835 0.8835 0.2016
Se2 0.7456 0.7456 0.8049
Tl1 0.5531 0.5531 0.4972
```

Space-group type: Cm, No. 8
Energy, eV per cell: -17.01
Total moment, μB/f.u.: 0.00
Fermi-level density of states, states/eV/cell: 1.99